i.
Entry from Alexandria via LeMat-Bulk: CaTl2C2 after structural relaxation (GGA-PBE).

Geometry as CIF:
```
data_CaTl2C2
_space_group_name_H-M_alt 'P 4/m b m'
_space_group_IT_number 127
_space_group_name_Hall '-P 4 2ab'
_cell_length_a 7.6900
_cell_length_b 7.6900
_cell_length_c 3.2525
_cell_angle_alpha 90.00
_cell_angle_beta 90.00
_cell_angle_gamma 90.00
loop_
_atom_site_label
_atom_site_fract_x
_atom_site_fract_y
_atom_site_fract_z
Ca1 0.0000 0.0000 0.0000
Tl1 0.1292 0.3708 0.0000
C1 0.2006 0.7006 0.5000
```

=====

ii.
Entry from Alexandria via LeMat-Bulk: CaTl2C2 after structural relaxation (GGA-PBE).

Geometry as CIF:
```
data_CaTl2C2
_space_group_name_H-M_alt 'I 4/m m m'
_space_group_IT_number 139
_space_group_name_Hall '-I 4 2'
_cell_length_a 4.4491
_cell_length_b 4.4491
_cell_length_c 9.5735
_cell_angle_alpha 90.00
_cell_angle_beta 90.00
_cell_angle_gamma 90.00
loop_
_atom_site_label
_atom_site_fract_x
_atom_site_fract_y
_atom_site_fract_z
Ca1 0.0000 0.0000 0.0000
Tl1 0.0000 0.0000 0.3476
C1 0.0000 0.5000 0.2500
```

=====

ii is favored, and the nearest alternative lies 0.359 eV/atom above it.

=====

i.
Entry from Alexandria via LeMat-Bulk: CaTlC3 after structural relaxation (GGA-PBE).

Geometry as CIF:
```
data_CaTlC3
_space_group_name_H-M_alt 'P m -3 m'
_space_group_IT_number 221
_space_group_name_Hall '-P 4 2 3'
_cell_length_a 4.6395
_cell_length_b 4.6395
_cell_length_c 4.6395
_cell_angle_alpha 90.00
_cell_angle_beta 90.00
_cell_angle_gamma 90.00
loop_
_atom_site_label
_atom_site_fract_x
_atom_site_fract_y
_atom_site_fract_z
Ca1 0.0000 0.0000 0.0000
Tl1 0.5000 0.5000 0.5000
C1 0.0000 0.0000 0.5000
```

=====

ii.
Entry from Alexandria via LeMat-Bulk: CaTlC3 after structural relaxation (GGA-PBE).

Geometry as CIF:
```
data_CaTlC3
_space_group_name_H-M_alt 'P m -3 m'
_space_group_IT_number 221
_space_group_name_Hall '-P 4 2 3'
_cell_length_a 4.4675
_cell_length_b 4.4675
_cell_length_c 4.4675
_cell_angle_alpha 90.00
_cell_angle_beta 90.00
_cell_angle_gamma 90.00
loop_
_atom_site_label
_atom_site_fract_x
_atom_site_fract_y
_atom_site_fract_z
Ca1 0.0000 0.0000 0.0000
Tl1 0.5000 0.5000 0.5000
C1 0.0000 0.5000 0.5000
```

=====

ii is favored, and the nearest alternative lies 0.409 eV/atom above it.

=====

i.
Entry from Alexandria via LeMat-Bulk: CaV3C after structural relaxation (GGA-PBE).

Geometry as CIF:
```
data_CaV3C
_space_group_name_H-M_alt 'P m -3 m'
_space_group_IT_number 221
_space_group_name_Hall '-P 4 2 3'
_cell_length_a 4.1860
_cell_length_b 4.1860
_cell_length_c 4.1860
_cell_angle_alpha 90.00
_cell_angle_beta 90.00
_cell_angle_gamma 90.00
loop_
_atom_site_label
_atom_site_fract_x
_atom_site_fract_y
_atom_site_fract_z
Ca1 0.0000 0.0000 0.0000
V1 0.0000 0.5000 0.5000
C1 0.5000 0.5000 0.5000
```

=====

ii.
Entry from Alexandria via LeMat-Bulk: CaV3C after structural relaxation (GGA-PBE).

Geometry as CIF:
```
data_CaV3C
_space_group_name_H-M_alt 'P m -3 m'
_space_group_IT_number 221
_space_group_name_Hall '-P 4 2 3'
_cell_length_a 4.2755
_cell_length_b 4.2755
_cell_length_c 4.2755
_cell_angle_alpha 90.00
_cell_angle_beta 90.00
_cell_angle_gamma 90.00
loop_
_atom_site_label
_atom_site_fract_x
_atom_site_fract_y
_atom_site_fract_z
Ca1 0.0000 0.0000 0.0000
V1 0.0000 0.0000 0.5000
C1 0.5000 0.5000 0.5000
```

=====

i is favored, and the nearest alternative lies 2.996 eV/atom above it.

=====

i.
Entry from Alexandria via LeMat-Bulk: Ca2Y2C after structural relaxation (GGA-PBE).

Geometry as CIF:
```
data_Ca2Y2C
_space_group_name_H-M_alt 'I 4/m m m'
_space_group_IT_number 139
_space_group_name_Hall '-I 4 2'
_cell_length_a 4.0412
_cell_length_b 4.0412
_cell_length_c 18.9188
_cell_angle_alpha 90.00
_cell_angle_beta 90.00
_cell_angle_gamma 90.00
loop_
_atom_site_label
_atom_site_fract_x
_atom_site_fract_y
_atom_site_fract_z
Ca1 0.0000 0.0000 0.0793
Y1 0.0000 0.5000 0.2500
C1 0.0000 0.0000 0.5000
```

=====

ii.
Entry from Alexandria via LeMat-Bulk: Ca2Y2C after structural relaxation (GGA-PBE).

Geometry as CIF:
```
data_Ca2Y2C
_space_group_name_H-M_alt 'P 4/m b m'
_space_group_IT_number 127
_space_group_name_Hall '-P 4 2ab'
_cell_length_a 6.8775
_cell_length_b 6.8775
_cell_length_c 6.2456
_cell_angle_alpha 90.00
_cell_angle_beta 90.00
_cell_angle_gamma 90.00
loop_
_atom_site_label
_atom_site_fract_x
_atom_site_fract_y
_atom_site_fract_z
Ca1 0.1777 0.3223 0.0000
Y1 0.1653 0.6653 0.5000
C1 0.0000 0.0000 0.0000
```

=====

ii is favored, and the nearest alternative lies 0.484 eV/atom above it.

=====

i.
Entry from Alexandria via LeMat-Bulk: Ca2ZnC after structural relaxation (GGA-PBE).

Geometry as CIF:
```
data_Ca2ZnC
_space_group_name_H-M_alt 'F m -3 m'
_space_group_IT_number 225
_space_group_name_Hall '-F 4 2 3'
_cell_length_a 6.7643
_cell_length_b 6.7643
_cell_length_c 6.7643
_cell_angle_alpha 90.00
_cell_angle_beta 90.00
_cell_angle_gamma 90.00
loop_
_atom_site_label
_atom_site_fract_x
_atom_site_fract_y
_atom_site_fract_z
Ca1 0.2500 0.2500 0.2500
Zn1 0.0000 0.0000 0.0000
C1 0.0000 0.0000 0.5000
```

=====

ii.
Entry from Alexandria via LeMat-Bulk: Ca2ZnC after structural relaxation (GGA-PBE).

Geometry as CIF:
```
data_Ca2ZnC
_space_group_name_H-M_alt 'I -4 2 d'
_space_group_IT_number 122
_space_group_name_Hall 'I -4 2bw'
_cell_length_a 7.4378
_cell_length_b 7.4378
_cell_length_c 7.0638
_cell_angle_alpha 90.00
_cell_angle_beta 90.00
_cell_angle_gamma 90.00
loop_
_atom_site_label
_atom_site_fract_x
_atom_site_fract_y
_atom_site_fract_z
Ca1 0.1658 0.2500 0.1250
Zn1 0.0000 0.0000 0.5000
C1 0.0000 0.0000 0.0000
```

=====

i is favored, and the nearest alternative lies 0.008 eV/atom above it.

=====

i.
Entry from Alexandria via LeMat-Bulk: CaZr2C2 after structural relaxation (GGA-PBE).

Geometry as CIF:
```
data_CaZr2C2
_space_group_name_H-M_alt 'P 4/m b m'
_space_group_IT_number 127
_space_group_name_Hall '-P 4 2ab'
_cell_length_a 6.6663
_cell_length_b 6.6663
_cell_length_c 3.3104
_cell_angle_alpha 90.00
_cell_angle_beta 90.00
_cell_angle_gamma 90.00
loop_
_atom_site_label
_atom_site_fract_x
_atom_site_fract_y
_atom_site_fract_z
Ca1 0.0000 0.0000 0.0000
Zr1 0.1565 0.3435 0.5000
C1 0.1526 0.6526 0.0000
```

=====

ii.
Entry from Alexandria via LeMat-Bulk: CaZr2C2 after structural relaxation (GGA-PBE).

Geometry as CIF:
```
data_CaZr2C2
_space_group_name_H-M_alt 'I 4/m m m'
_space_group_IT_number 139
_space_group_name_Hall '-I 4 2'
_cell_length_a 4.3523
_cell_length_b 4.3523
_cell_length_c 11.5189
_cell_angle_alpha 90.00
_cell_angle_beta 90.00
_cell_angle_gamma 90.00
loop_
_atom_site_label
_atom_site_fract_x
_atom_site_fract_y
_atom_site_fract_z
Ca1 0.0000 0.0000 0.0000
Zr1 0.0000 0.5000 0.2500
C1 0.0000 0.0000 0.3092
```

=====

ii is favored, and the nearest alternative lies 0.057 eV/atom above it.

=====

i.
Entry from Alexandria via LeMat-Bulk: CaZrC2 after structural relaxation (GGA-PBE).

Geometry as CIF:
```
data_CaZrC2
_space_group_name_H-M_alt 'F m -3 m'
_space_group_IT_number 225
_space_group_name_Hall '-F 4 2 3'
_cell_length_a 5.9953
_cell_length_b 5.9953
_cell_length_c 5.9953
_cell_angle_alpha 90.00
_cell_angle_beta 90.00
_cell_angle_gamma 90.00
loop_
_atom_site_label
_atom_site_fract_x
_atom_site_fract_y
_atom_site_fract_z
Ca1 0.0000 0.0000 0.0000
Zr1 0.0000 0.0000 0.5000
C1 0.2500 0.2500 0.2500
```

=====

ii.
Entry from Alexandria via LeMat-Bulk: CaZrC2 after structural relaxation (GGA-PBE).

Geometry as CIF:
```
data_CaZrC2
_space_group_name_H-M_alt 'I -4 2 d'
_space_group_IT_number 122
_space_group_name_Hall 'I -4 2bw'
_cell_length_a 6.1634
_cell_length_b 6.1634
_cell_length_c 7.0326
_cell_angle_alpha 90.00
_cell_angle_beta 90.00
_cell_angle_gamma 90.00
loop_
_atom_site_label
_atom_site_fract_x
_atom_site_fract_y
_atom_site_fract_z
Ca1 0.0000 0.0000 0.0000
Zr1 0.0000 0.0000 0.5000
C1 0.2097 0.2500 0.6250
```

=====

ii is favored, and the nearest alternative lies 0.386 eV/atom above it.

=====

i.
Entry from Alexandria via LeMat-Bulk: CaZr3C after structural relaxation (GGA-PBE).

Geometry as CIF:
```
data_CaZr3C
_space_group_name_H-M_alt 'P m -3 m'
_space_group_IT_number 221
_space_group_name_Hall '-P 4 2 3'
_cell_length_a 4.9622
_cell_length_b 4.9622
_cell_length_c 4.9622
_cell_angle_alpha 90.00
_cell_angle_beta 90.00
_cell_angle_gamma 90.00
loop_
_atom_site_label
_atom_site_fract_x
_atom_site_fract_y
_atom_site_fract_z
Ca1 0.0000 0.0000 0.0000
Zr1 0.0000 0.0000 0.5000
C1 0.5000 0.5000 0.5000
```

=====

ii.
Entry from Alexandria via LeMat-Bulk: CaZr3C after structural relaxation (GGA-PBE).

Geometry as CIF:
```
data_CaZr3C
_space_group_name_H-M_alt 'P m -3 m'
_space_group_IT_number 221
_space_group_name_Hall '-P 4 2 3'
_cell_length_a 4.7341
_cell_length_b 4.7341
_cell_length_c 4.7341
_cell_angle_alpha 90.00
_cell_angle_beta 90.00
_cell_angle_gamma 90.00
loop_
_atom_site_label
_atom_site_fract_x
_atom_site_fract_y
_atom_site_fract_z
Ca1 0.0000 0.0000 0.0000
Zr1 0.0000 0.5000 0.5000
C1 0.5000 0.5000 0.5000
```

=====

ii is favored, and the nearest alternative lies 2.898 eV/atom above it.

=====

i.
Entry from Alexandria via LeMat-Bulk: CdC after structural relaxation (GGA-PBE).

Geometry as CIF:
```
data_CdC
_space_group_name_H-M_alt 'P 6/m m m'
_space_group_IT_number 191
_space_group_name_Hall '-P 6 2'
_cell_length_a 6.4225
_cell_length_b 6.4225
_cell_length_c 2.9379
_cell_angle_alpha 90.00
_cell_angle_beta 90.00
_cell_angle_gamma 120.00
loop_
_atom_site_label
_atom_site_fract_x
_atom_site_fract_y
_atom_site_fract_z
Cd1 0.0000 0.5000 0.0000
C1 0.0000 0.0000 0.0000
C2 0.3333 0.6667 0.5000
```

=====

ii.
Entry from Alexandria via LeMat-Bulk: CdC after structural relaxation (GGA-PBE).

Geometry as CIF:
```
data_CdC
_space_group_name_H-M_alt 'C 1 m 1'
_space_group_IT_number 8
_cell_length_a 12.3171
_cell_length_b 2.6825
_cell_length_c 6.3803
_cell_angle_alpha 90.00
_cell_angle_beta 103.94
_cell_angle_gamma 90.00
loop_
_space_group_symop_operation_xyz
'x,y,z'
'x,-y,z'
'x+1/2,y+1/2,z'
'x+1/2,-y+1/2,z'
loop_
_atom_site_label
_atom_site_fract_x
_atom_site_fract_y
_atom_site_fract_z
Cd1 0.0000 0.0000 0.0000
Cd2 0.0483 0.5000 0.4479
Cd3 0.2664 0.0000 0.9055
C1 0.1052 0.5000 0.8089
C2 0.2978 0.0000 0.4158
C3 0.3000 0.5000 0.4155
```

=====

ii is favored, and the nearest alternative lies 1.143 eV/atom above it.

=====

i.
Entry from Alexandria via LeMat-Bulk: CdC4 after structural relaxation (GGA-PBE).

Geometry as CIF:
```
data_CdC4
_space_group_name_H-M_alt 'I m -3 m'
_space_group_IT_number 229
_space_group_name_Hall '-I 4 2 3'
_cell_length_a 5.1063
_cell_length_b 5.1063
_cell_length_c 5.1063
_cell_angle_alpha 90.00
_cell_angle_beta 90.00
_cell_angle_gamma 90.00
loop_
_atom_site_label
_atom_site_fract_x
_atom_site_fract_y
_atom_site_fract_z
Cd1 0.0000 0.0000 0.0000
C1 0.2500 0.2500 0.2500
```

=====

ii.
Entry from Alexandria via LeMat-Bulk: CdC4 after structural relaxation (GGA-PBE).

Geometry as CIF:
```
data_CdC4
_space_group_name_H-M_alt 'C 1 2/m 1'
_space_group_IT_number 12
_cell_length_a 6.7905
_cell_length_b 2.5583
_cell_length_c 6.5630
_cell_angle_alpha 90.00
_cell_angle_beta 95.83
_cell_angle_gamma 90.00
loop_
_space_group_symop_operation_xyz
'x,y,z'
'-x,-y,-z'
'-x,y,-z'
'x,-y,z'
'x+1/2,y+1/2,z'
'-x+1/2,-y+1/2,-z'
'-x+1/2,y+1/2,-z'
'x+1/2,-y+1/2,z'
loop_
_atom_site_label
_atom_site_fract_x
_atom_site_fract_y
_atom_site_fract_z
Cd1 0.0000 0.0000 0.0000
C1 0.2259 0.5000 0.2317
C2 0.2435 0.5000 0.4421
```

=====

ii is favored, and the nearest alternative lies 2.954 eV/atom above it.

=====

i.
Entry from Alexandria via LeMat-Bulk: CdC2 after structural relaxation (GGA-PBE).

Geometry as CIF:
```
data_CdC2
_space_group_name_H-M_alt 'P 63/m m c'
_space_group_IT_number 194
_space_group_name_Hall '-P 6c 2c'
_cell_length_a 3.4912
_cell_length_b 3.4912
_cell_length_c 8.4706
_cell_angle_alpha 90.00
_cell_angle_beta 90.00
_cell_angle_gamma 120.00
loop_
_atom_site_label
_atom_site_fract_x
_atom_site_fract_y
_atom_site_fract_z
Cd1 0.3333 0.6667 0.2500
C1 0.0000 0.0000 0.0744
```

=====

ii.
Entry from Alexandria via LeMat-Bulk: CdC2 after structural relaxation (GGA-PBE).

Geometry as CIF:
```
data_CdC2
_space_group_name_H-M_alt 'P 42/m n m'
_space_group_IT_number 136
_space_group_name_Hall '-P 4n 2n'
_cell_length_a 3.9835
_cell_length_b 3.9835
_cell_length_c 5.8734
_cell_angle_alpha 90.00
_cell_angle_beta 90.00
_cell_angle_gamma 90.00
loop_
_atom_site_label
_atom_site_fract_x
_atom_site_fract_y
_atom_site_fract_z
Cd1 0.0000 0.0000 0.0000
C1 0.1112 0.1112 0.5000
```

=====

iii.
Entry from Alexandria via LeMat-Bulk: CdC2 after structural relaxation (GGA-PBE).

Geometry as CIF:
```
data_CdC2
_space_group_name_H-M_alt 'C 1 2/m 1'
_space_group_IT_number 12
_cell_length_a 16.1356
_cell_length_b 2.7101
_cell_length_c 3.9192
_cell_angle_alpha 90.00
_cell_angle_beta 102.07
_cell_angle_gamma 90.00
loop_
_space_group_symop_operation_xyz
'x,y,z'
'-x,-y,-z'
'-x,y,-z'
'x,-y,z'
'x+1/2,y+1/2,z'
'-x+1/2,-y+1/2,-z'
'-x+1/2,y+1/2,-z'
'x+1/2,-y+1/2,z'
loop_
_atom_site_label
_atom_site_fract_x
_atom_site_fract_y
_atom_site_fract_z
Cd1 0.1332 0.0000 0.4565
C1 0.0359 0.5000 0.0997
C2 0.2347 0.0000 0.9374
```

=====

iv.
Entry from Alexandria via LeMat-Bulk: CdC2 after structural relaxation (GGA-PBE).

Geometry as CIF:
```
data_CdC2
_space_group_name_H-M_alt 'I m m a'
_space_group_IT_number 74
_space_group_name_Hall '-I 2b 2'
_cell_length_a 2.6111
_cell_length_b 3.5127
_cell_length_c 17.3570
_cell_angle_alpha 90.00
_cell_angle_beta 90.00
_cell_angle_gamma 90.00
loop_
_atom_site_label
_atom_site_fract_x
_atom_site_fract_y
_atom_site_fract_z
Cd1 0.0000 0.2500 0.0783
C1 0.0000 0.2500 0.6482
C2 0.0000 0.2500 0.7284
```

=====

ii is favored, and the nearest alternative lies 0.076 eV/atom above it.

=====

i.
Entry from Alexandria via LeMat-Bulk: CdC2 after structural relaxation (GGA-PBE).

Geometry as CIF:
```
data_CdC2
_space_group_name_H-M_alt 'P 6/m m m'
_space_group_IT_number 191
_space_group_name_Hall '-P 6 2'
_cell_length_a 2.5932
_cell_length_b 2.5932
_cell_length_c 9.0337
_cell_angle_alpha 90.00
_cell_angle_beta 90.00
_cell_angle_gamma 120.00
loop_
_atom_site_label
_atom_site_fract_x
_atom_site_fract_y
_atom_site_fract_z
Cd1 0.0000 0.0000 0.0000
C1 0.3333 0.6667 0.5000
```

=====

ii.
Entry from Alexandria via LeMat-Bulk: CdC2 after structural relaxation (GGA-PBE).

Geometry as CIF:
```
data_CdC2
_space_group_name_H-M_alt 'P -6 2 m'
_space_group_IT_number 189
_space_group_name_Hall 'P -6 -2'
_cell_length_a 10.0191
_cell_length_b 10.0191
_cell_length_c 2.6176
_cell_angle_alpha 90.00
_cell_angle_beta 90.00
_cell_angle_gamma 120.00
loop_
_atom_site_label
_atom_site_fract_x
_atom_site_fract_y
_atom_site_fract_z
Cd1 0.0000 0.0000 0.0000
Cd2 0.3333 0.6667 0.5000
C1 0.0000 0.6666 0.0000
C2 0.0000 0.6674 0.5000
```

=====

i is favored, and the nearest alternative lies 0.430 eV/atom above it.